# Ac5NdSe8

Crystalline Ac5NdSe8 at its relaxed geometry (PBE, the Alexandria database).

The structure in extended XYZ format:
```
14
Lattice="-4.695 4.695 4.609 4.695 -4.695 4.609 4.695 4.695 -4.609" Properties=species:S:1:pos:R:3 pbc="T T T"
Ac 0.000 0.000 0.000
Ac 2.344 3.401 -1.156
Ac 5.990 2.344 1.156
Ac 2.352 1.295 3.454
Ac -1.295 2.352 5.765
Nd 0.000 4.695 2.305
Se 3.099 0.693 0.438
Se 5.355 3.028 -1.850
Se 4.003 -1.597 4.171
Se -0.659 1.668 2.759
Se 0.693 6.292 -0.438
Se 3.028 4.036 1.850
Se 1.668 0.659 6.459
Se 1.597 4.003 5.048
```

Properties
Total DFT energy (no corrections) = -5.750 eV per atom
Space-group type = I-4 (82)
N(E_F) = 9.65 states/eV per cell
ΔE_f (raw) = -1.9506 eV/atom

# V2InHBr

Crystalline V2InHBr at its relaxed geometry (PBE, the Alexandria database).

The structure in extended XYZ format:
```
5
Lattice="5.408 0.000 0.000 0.000 5.408 0.000 0.000 0.000 6.023" Properties=species:S:1:pos:R:3 pbc="T T T"
V 0.000 2.704 0.000
V 2.704 0.000 0.000
In 0.000 0.000 0.000
H 2.704 2.704 3.012
Br 0.000 0.000 3.012
```

Properties
Total DFT energy (no corrections) = -3.550 eV per atom
Space-group type = P4/mmm (123)
N(E_F) = 5.76 states/eV per cell

# Zr3GePb

Crystalline Zr3GePb at its relaxed geometry (PBE, the Alexandria database).

The structure in extended XYZ format:
```
5
Lattice="5.044 0.000 0.000 0.000 5.044 0.000 0.000 0.000 5.044" Properties=species:S:1:pos:R:3 pbc="T T T"
Zr 0.000 0.000 2.522
Zr 0.000 2.522 0.000
Zr 2.522 0.000 0.000
Ge 0.000 0.000 0.000
Pb 2.522 2.522 2.522
```

Properties
ΔE_f = 0.084 eV/atom
Total DFT energy (no corrections) = -6.710 eV per atom
Space-group type = Pm-3m (221)
N(E_F) = 3.38 states/eV per cell
Relative energy among the computed polymorphs = 0 meV per atom